A plane-wave DFT calculation with PBE-GGA was carried out for a geometry-optimized HoSc3Hg6 structure.

Geometry as POSCAR:
```
HoSc3Hg6
1.0
8.8338 0.0000 0.0000
0.0000 4.9879 0.0000
-2.9718 0.0000 10.2843
Ho Sc Hg
2 6 12
Direct
0.0629 0.2500 0.3863
0.9371 0.7500 0.6137
0.2378 0.2500 0.0050
0.3524 0.7500 0.8071
0.4797 0.2500 0.6078
0.5203 0.7500 0.3922
0.6476 0.2500 0.1929
0.7622 0.7500 0.9950
0.0668 0.7500 0.9095
0.1440 0.7500 0.2089
0.1759 0.2500 0.6944
0.2558 0.7500 0.5214
0.3649 0.2500 0.2948
0.4638 0.7500 0.0957
0.5362 0.2500 0.9043
0.6351 0.7500 0.7052
0.7442 0.2500 0.4786
0.8241 0.7500 0.3056
0.8560 0.2500 0.7911
0.9332 0.2500 0.0905
```

Summary:
As for the space group: P2_1/m. The calculation puts the formation energy at -0.367 eV per atom. The value obtained for the total energy is -58.1 eV/cell.

A plane-wave DFT calculation with PBE-GGA was carried out for a geometry-optimized PrTm2Ga2 structure.

Geometry as POSCAR:
```
PrTm2Ga2
1.0
5.3326 0.0000 0.0000
0.0000 4.3316 0.0000
-0.8257 0.0000 11.6121
Pr Tm Ga
2 4 4
Direct
0.1736 0.2500 0.2391
0.8264 0.7500 0.7609
0.2437 0.7500 0.4790
0.3559 0.2500 0.8896
0.6441 0.7500 0.1104
0.7563 0.2500 0.5210
0.1391 0.7500 0.0239
0.2736 0.2500 0.6459
0.7264 0.7500 0.3541
0.8609 0.2500 0.9761
```

Summary:
As for the space group: P2_1/m. The calculation puts the formation energy at -0.370 eV per atom. The value obtained for the total energy is -43.3 eV/cell.

A plane-wave DFT calculation with PBE-GGA was carried out for a geometry-optimized YTh4Sc8 structure.

Geometry as POSCAR:
```
YTh4Sc8
1.0
6.1601 -3.5591 0.0000
6.1601 3.5591 0.0000
-4.1017 0.0000 8.2240
Y Th Sc
1 4 8
Direct
0.0000 0.0000 0.0000
0.0000 0.0000 0.5000
0.0000 0.5000 0.5000
0.5000 0.0000 0.5000
0.5000 0.5000 0.5000
0.2541 0.2541 0.1829
0.2544 0.6744 0.1827
0.2814 0.2814 0.8445
0.3256 0.7456 0.8173
0.6744 0.2544 0.1827
0.7186 0.7186 0.1555
0.7456 0.3256 0.8173
0.7459 0.7459 0.8171
```

Summary:
As for the space group: C2/m. The calculation puts the formation energy at 0.235 eV per atom. The value obtained for the total energy is -83.7 eV/cell.